Record 1
Material: KSrOF2
Method: DFT, PBE
State: relaxed

As for the calculated total energy: -4.79 eV/atom. The value obtained for the energy relative to the lowest polymorph listed for this composition is 0 meV/atom. The calculation puts the magnetization at 0.200 μB per atom. The density of states at the Fermi level is 13.0 states/eV per cell. For the calculated volume, the calculation gives 108 Å³/f.u.

It has space group P4/mmm (No. 123), with a = 4.7612 Å, b = 4.7612 Å, c = 4.7767 Å, α = 90.00°, β = 90.00° and γ = 90.00°. The inequivalent atoms are K at (0.0000, 0.0000, 0.0000), Sr at (0.5000, 0.5000, 0.5000), O at (0.5000, 0.5000, 0.0000) and F at (0.0000, 0.5000, 0.5000).



Record 2
Material: KSrO2F
Method: DFT, PBE
State: relaxed

As for the calculated total energy: -4.01 eV/atom. The calculation puts the magnetization at 0.400 μB per atom. The density of states at the Fermi level is 1.5 states/eV per cell. For the calculated volume, the calculation gives 114 Å³/f.u.

It has space group P4/mmm (No. 123), with a = 5.1901 Å, b = 5.1901 Å, c = 4.2459 Å, α = 90.00°, β = 90.00° and γ = 90.00°. The inequivalent atoms are K at (0.0000, 0.0000, 0.0000), Sr at (0.5000, 0.5000, 0.0000), O at (0.0000, 0.5000, 0.5000) and F at (0.5000, 0.5000, 0.5000).



Record 3
Material: KSrO2F
Method: DFT, PBE
State: relaxed

As for the calculated total energy: -4.61 eV/atom. The calculation puts the magnetization at 0.400 μB per atom. The density of states at the Fermi level is 5.7 states/eV per cell. For the calculated volume, the calculation gives 108 Å³/f.u.

It has space group P4/mmm (No. 123), with a = 4.7344 Å, b = 4.7344 Å, c = 4.8057 Å, α = 90.00°, β = 90.00° and γ = 90.00°. The inequivalent atoms are K at (0.0000, 0.0000, 0.0000), Sr at (0.5000, 0.5000, 0.5000), O at (0.0000, 0.5000, 0.5000) and F at (0.5000, 0.5000, 0.0000).



Record 4
Material: KTaOF2
Method: DFT, PBE
State: relaxed

As for the calculated total energy: -4.31 eV/atom. The value obtained for the energy relative to the lowest polymorph listed for this composition is 2256 meV/atom. The calculation puts the magnetization at 0.400 μB per atom. The density of states at the Fermi level is 4.1 states/eV per cell. For the calculated volume, the calculation gives 89 Å³/f.u.

It has space group P4/mmm (No. 123), with a = 4.3826 Å, b = 4.3826 Å, c = 4.6304 Å, α = 90.00°, β = 90.00° and γ = 90.00°. The inequivalent atoms are K at (0.0000, 0.0000, 0.0000), Ta at (0.5000, 0.5000, 0.5000), O at (0.0000, 0.0000, 0.5000) and F at (0.0000, 0.5000, 0.0000).



Record 5
Material: KTaO2F
Method: DFT, PBE
State: relaxed

As for the calculated total energy: -4.38 eV/atom. The calculation puts the magnetization at 0.199 μB per atom. The density of states at the Fermi level is 5.5 states/eV per cell. For the calculated volume, the calculation gives 82 Å³/f.u.

It has space group P4/mmm (No. 123), with a = 4.3942 Å, b = 4.3942 Å, c = 4.2575 Å, α = 90.00°, β = 90.00° and γ = 90.00°. The inequivalent atoms are K at (0.0000, 0.0000, 0.0000), Ta at (0.5000, 0.5000, 0.5000), O at (0.0000, 0.5000, 0.0000) and F at (0.0000, 0.0000, 0.5000).



Record 6
Material: K2Ta3O8F
Method: DFT, PBE
State: relaxed

As for the calculated total energy: -8.13 eV/atom. The calculation puts the magnetization at 0.004 μB per atom. For the calculated volume, the calculation gives 245 Å³/f.u.

It has space group R3m (No. 160, hexagonal axes), with a = 6.1685 Å, b = 6.1685 Å, c = 22.3068 Å, α = 90.00°, β = 90.00° and γ = 120.00°. The inequivalent atoms are K at (0.0000, 0.0000, 0.0000), K at (0.0000, 0.0000, 0.3810), Ta at (0.1677, 0.3354, 0.2035), O at (0.0000, 0.0000, 0.1540), O at (0.0000, 0.0000, 0.5848), O at (0.0358, 0.5179, 0.1582), O at (0.1837, 0.3673, 0.9164) and F at (0.0000, 0.0000, 0.7020).



Record 7
Material: K3Ta2O5F2
Method: DFT, PBE
State: relaxed

As for the calculated total energy: -7.31 eV/atom. The calculation puts the magnetization at 0.000 μB per atom. The density of states at the Fermi level is 4.6 states/eV per cell. For the calculated volume, the calculation gives 177 Å³/f.u.

It has space group I4/mmm (No. 139), with a = 4.0226 Å, b = 4.0226 Å, c = 21.9063 Å, α = 90.00°, β = 90.00° and γ = 90.00°. The inequivalent atoms are K at (0.0000, 0.0000, 0.0000), K at (0.0000, 0.0000, 0.1857), Ta at (0.0000, 0.0000, 0.4101), O at (0.0000, 0.0000, 0.5000), O at (0.0000, 0.5000, 0.0948) and F at (0.0000, 0.0000, 0.3103).



Record 8
Material: KTaOF2
Method: DFT, PBE
State: relaxed

As for the calculated total energy: -6.56 eV/atom. The value obtained for the energy relative to the lowest polymorph listed for this composition is 0 meV/atom. The calculation puts the magnetization at 0.388 μB per atom. The density of states at the Fermi level is 1.1 states/eV per cell. For the calculated volume, the calculation gives 78 Å³/f.u.

It has space group P4/mmm (No. 123), with a = 4.3965 Å, b = 4.3965 Å, c = 4.0107 Å, α = 90.00°, β = 90.00° and γ = 90.00°. The inequivalent atoms are K at (0.0000, 0.0000, 0.0000), Ta at (0.5000, 0.5000, 0.5000), O at (0.5000, 0.5000, 0.0000) and F at (0.0000, 0.5000, 0.5000).